# FeBiIO2 PBE+U optimized geometry
# Spin magnetization, μB per atom: 0.604
# Space-group type: P4/mmm, No. 123
# E, eV per atom: -4.205
# Offset from the most stable computed form, eV per formula unit: 5.41
data_FeBiIO2
_symmetry_space_group_name_H-M 'P 1'
_symmetry_Int_Tables_number 1
_cell_length_a 4.238
_cell_length_b 4.238
_cell_length_c 6.902
_cell_angle_alpha 90.00
_cell_angle_beta 90.00
_cell_angle_gamma 90.00
loop_
_symmetry_equiv_pos_as_xyz
'x,y,z'
loop_
_atom_site_label
_atom_site_type_symbol
_atom_site_fract_x
_atom_site_fract_y
_atom_site_fract_z
_atom_site_occupancy
Fe1 Fe 0.000 0.000 0.000 1
Bi1 Bi 0.500 0.500 0.500 1
I1 I 0.500 0.500 0.000 1
O1 O 0.000 0.500 0.500 1
O2 O 0.500 0.000 0.500 1